DFT (PBE) results for an optimized crystal structure of Rb5Cu2F12.

Values from the calculation:
For the total DFT energy (no corrections), the calculation gives -3.898 eV per atom. The energy relative to the elements, uncorrected comes out at -2030 meV/atom.

Lattice parameters (Å, degrees): 6.177 8.210 8.670 105.06 90.00 112.10
Site moments in Bohr magnetons follow the coordinates.
Atoms (fractional coordinates):
1 F 0.383 0.321 0.603  0.26
2 F 0.878 0.258 0.070  0.14
3 F 0.380 0.258 0.070  0.14
4 F 0.504 0.009 0.855  0.23
5 F 0.002 0.004 0.854  0.25
6 F 0.496 0.991 0.145  0.23
7 F 0.998 0.996 0.146  0.25
8 F 0.122 0.742 0.930  0.14
9 F 0.620 0.742 0.930  0.14
10 F 0.617 0.679 0.397  0.26
11 F 0.938 0.321 0.603  0.26
12 F 0.062 0.679 0.397  0.26
13 Rb 0.322 0.643 0.639  0.00
14 Rb 0.000 0.000 0.500  0.00
15 Rb 0.294 0.588 0.140  0.00
16 Rb 0.678 0.357 0.361  0.00
17 Rb 0.706 0.412 0.860  0.00
18 Cu 0.247 0.000 0.000  1.01
19 Cu 0.753 0.000 0.000  1.01


DFT (PBE) results for an optimized crystal structure of Rb3CuF4.

Values from the calculation:
For the total DFT energy (no corrections), the calculation gives -3.996 eV per atom. The energy relative to the elements, uncorrected comes out at -2186 meV/atom.

Lattice parameters (Å, degrees): 5.718 5.710 10.375 90.00 90.00 90.00
Atoms (fractional coordinates):
1 F 0.056 0.249 0.192
2 F 0.556 0.751 0.692
3 F 0.556 0.751 0.308
4 F 0.082 0.822 0.000
5 F 0.130 0.719 0.500
6 F 0.056 0.249 0.808
7 F 0.630 0.281 0.000
8 F 0.582 0.178 0.500
9 Rb 0.546 0.260 0.750
10 Rb 0.046 0.740 0.750
11 Rb 0.546 0.260 0.250
12 Rb 0.068 0.226 0.500
13 Rb 0.046 0.740 0.250
14 Rb 0.568 0.774 0.000
15 Cu 0.033 0.228 0.000
16 Cu 0.533 0.772 0.500